VASP calculation (SCAN) on NiHgAu2 at its PBEsol-relaxed geometry.

a = 4.890 Å, b = 4.890 Å, c = 4.765 Å
α = 105.19°, β = 105.19°, γ = 36.33°
Positions (direct):
Ni 0.000 0.000 0.000
Hg 0.738 0.738 0.234
Au 0.268 0.268 0.763
Au 0.505 0.505 0.511



VASP calculation (SCAN) on NiHg3Au at its PBEsol-relaxed geometry.

a = 5.188 Å, b = 5.188 Å, c = 5.188 Å
α = 90.00°, β = 90.00°, γ = 90.00°
Positions (direct):
Ni 0.000 0.000 0.000
Hg 0.000 0.500 0.500
Hg 0.500 0.000 0.500
Hg 0.500 0.500 0.000
Au 0.500 0.500 0.500



VASP calculation (SCAN) on NiHgAu2 at its PBEsol-relaxed geometry.

a = 3.014 Å, b = 3.014 Å, c = 7.112 Å
α = 90.00°, β = 90.00°, γ = 90.00°
Positions (direct):
Ni 0.000 0.000 0.000
Hg 0.000 0.000 0.500
Au 0.500 0.500 0.213
Au 0.500 0.500 0.787



VASP calculation (SCAN) on ScNi2HgAu at its PBEsol-relaxed geometry.

a = 4.646 Å, b = 4.646 Å, c = 4.977 Å
α = 90.00°, β = 90.00°, γ = 90.00°
Positions (direct):
Sc 0.000 0.000 0.000
Ni 0.000 0.500 0.500
Ni 0.500 0.000 0.500
Hg 0.500 0.500 0.000
Au 0.500 0.500 0.500



Calculated formation energy (eV/atom), listed in the same order as above: 0.169; 0.833; 0.108; 0.682
Calculated Fermi-level density of states (states/eV/f.u.), listed in the same order as above: 2.13; 9.11; 2.21; 3.38